# 1
KPPb2: relaxed, PBE-GGA.

Output
* V: 33.78 Å³/atom

The structure in extended XYZ format:
```
4
Lattice="4.390 0.000 0.000 0.000 4.187 0.000 -1.883 0.000 7.350" Properties=species:S:1:pos:R:3 pbc="T T T"
K 0.000 0.000 0.000
P 2.076 2.093 4.896
Pb 0.153 0.000 4.203
Pb 2.231 2.093 2.335
```

***

# 2
KP2Pb: relaxed, PBE-GGA.

Output
* V: 27.46 Å³/atom

The structure in extended XYZ format:
```
16
Lattice="7.146 0.000 0.000 0.000 9.545 0.000 0.000 0.000 6.441" Properties=species:S:1:pos:R:3 pbc="T T T"
K 0.000 0.000 0.000
K 0.000 0.000 3.221
K 3.573 4.773 0.000
K 3.573 4.773 3.221
P 1.080 3.252 1.610
P 1.080 6.293 4.831
P 2.493 1.521 4.831
P 2.493 8.024 1.610
P 4.653 1.521 4.831
P 4.653 8.024 1.610
P 6.066 3.252 1.610
P 6.066 6.293 4.831
Pb 0.000 3.677 4.831
Pb 0.000 5.868 1.610
Pb 3.573 1.096 1.610
Pb 3.573 8.449 4.831
```

***

# 3
KPPb2: relaxed, PBE-GGA.

Output
* V: 32.43 Å³/atom

The structure in extended XYZ format:
```
8
Lattice="3.931 0.000 0.000 0.000 5.169 0.000 0.000 0.000 12.771" Properties=species:S:1:pos:R:3 pbc="T T T"
K 0.000 0.000 0.000
K 1.965 2.584 6.386
P 0.000 2.584 9.080
P 1.965 0.000 2.694
Pb 0.000 0.000 4.606
Pb 0.000 2.584 2.660
Pb 1.965 0.000 9.046
Pb 1.965 2.584 10.992
```

***

Record-wise total magnetization values, in μB per formula unit: 0.00 0.00 0.00
Record-wise E_tot values, in eV per atom: -3.56 -3.90 -3.54
Record-wise formation energy values, in kcal/mol of atoms: -1.8 0.2 -1.5